Compound: SmPaSb3
Source: the Alexandria database
Functional: PBE-GGA
Structure: optimized geometry

The structure in POSCAR format:
```
SmPaSb3
1.0
6.380 0.000 0.000
0.000 6.120 0.000
0.000 0.000 14.299
Sm Sb Pa
4 12 4
Direct
0.250 0.022 0.671 Sm
0.250 0.522 0.329 Sm
0.750 0.978 0.329 Sm
0.750 0.478 0.671 Sm
0.250 0.701 0.098 Sb
0.500 0.750 0.504 Sb
0.500 0.250 0.496 Sb
0.250 0.201 0.902 Sb
0.000 0.250 0.496 Sb
0.250 0.026 0.262 Sb
0.750 0.974 0.738 Sb
0.750 0.474 0.262 Sb
0.000 0.750 0.504 Sb
0.250 0.526 0.738 Sb
0.750 0.799 0.098 Sb
0.750 0.299 0.902 Sb
0.000 0.250 0.091 Pa
0.000 0.750 0.909 Pa
0.500 0.250 0.091 Pa
0.500 0.750 0.909 Pa
```

Its space group is Pbcm (57). The energy is -118.2 eV for the cell shown. The uncorrected formation energy comes out at -57 kJ per mole of atoms.